# Pm2Ho5Fe2

Crystalline Pm2Ho5Fe2 at its relaxed geometry (PBE, Alexandria via LeMat-Bulk).

Structure (POSCAR):
```
Pm2Ho5Fe2
1.0
-3.345 2.888 -5.437
-6.113 -2.110 2.640
-2.460 10.051 2.337
Pm Ho Fe
4 10 4
Direct
0.232 0.000 0.536
0.732 0.500 0.536
0.768 0.000 0.464
0.268 0.500 0.464
0.000 0.000 0.000
0.500 0.500 0.000
0.425 0.178 0.788
0.787 0.822 0.788
0.287 0.678 0.788
0.925 0.322 0.788
0.575 0.822 0.212
0.213 0.178 0.212
0.713 0.322 0.212
0.075 0.678 0.212
0.110 0.393 0.000
0.890 0.607 0.000
0.390 0.893 0.000
0.610 0.107 0.000
```

Properties
The calculated volume is 27.224 A^3/atom. The crystal system is orthorhombic. The theoretical density comes out at 8.31 g/cm3. The calculation puts the total energy at -5.45 eV per atom. As for the size of the total moment: 3.45 Bohr magnetons per cell. As for the space-group type: No. 64.



# CsTl2Au3

Crystalline CsTl2Au3 at its relaxed geometry (PBE, Alexandria via LeMat-Bulk).

Structure (POSCAR):
```
CsTl2Au3
1.0
-2.910 4.505 4.680
-6.599 -1.001 -3.140
0.733 -5.055 5.322
Cs Tl Au
2 4 6
Direct
0.750 0.344 0.344
0.250 0.656 0.656
0.000 0.813 0.187
0.500 0.187 0.813
0.000 0.187 0.813
0.500 0.813 0.187
0.750 0.884 0.884
0.250 0.116 0.116
0.750 0.895 0.512
0.250 0.105 0.488
0.750 0.512 0.895
0.250 0.488 0.105
```

Properties
The calculated volume is 30.759 A^3/atom. The crystal system is orthorhombic. The theoretical density comes out at 10.19 g/cm3. The calculation puts the total energy at -2.73 eV per atom. As for the size of the total moment: 0.00 Bohr magnetons per cell. As for the space-group type: No. 63.



# NbZnSn2W

Crystalline NbZnSn2W at its relaxed geometry (PBE, Alexandria via LeMat-Bulk).

Structure (POSCAR):
```
NbZnSn2W
1.0
4.869 0.000 0.000
0.000 4.716 0.000
0.000 0.000 4.869
Zn Nb Sn W
1 1 2 1
Direct
0.000 0.000 0.000
0.500 0.500 0.500
0.000 0.000 0.500
0.500 0.000 0.000
0.000 0.500 0.000
```

Properties
The calculated volume is 22.358 A^3/atom. The crystal system is tetragonal. The theoretical density comes out at 8.61 g/cm3. The calculation puts the total energy at -4.96 eV per atom. As for the size of the total moment: 0.00 Bohr magnetons per cell. As for the space-group type: No. 123.



# SrScFe2

Crystalline SrScFe2 at its relaxed geometry (PBE, Alexandria via LeMat-Bulk).

Structure (POSCAR):
```
SrScFe2
1.0
-1.058 -1.876 -2.781
-1.852 -2.104 2.125
-5.459 4.105 -0.692
Fe Sc Sr
2 1 1
Direct
0.000 0.000 0.081
0.000 0.000 0.419
0.500 0.500 0.250
0.500 0.500 0.750
```

Properties
The calculated volume is 21.232 A^3/atom. The crystal system is tetragonal. The theoretical density comes out at 4.78 g/cm3. The calculation puts the total energy at -5.92 eV per atom. As for the size of the total moment: 3.65 Bohr magnetons per cell. As for the space-group type: No. 123.



# PrAlAu4

Crystalline PrAlAu4 at its relaxed geometry (PBE, Alexandria via LeMat-Bulk).

Structure (POSCAR):
```
PrAlAu4
1.0
5.257 0.110 -0.264
0.119 5.247 -0.414
-3.093 -2.821 9.398
Pr Al Au
2 2 8
Direct
0.750 0.750 0.000
0.250 0.250 0.000
0.500 0.000 0.500
0.000 0.500 0.500
0.621 0.121 0.801
0.879 0.379 0.199
0.379 0.879 0.199
0.121 0.621 0.801
0.023 0.023 0.645
0.477 0.477 0.355
0.977 0.977 0.355
0.523 0.523 0.645
```

Properties
The calculated volume is 20.740 A^3/atom. The crystal system is monoclinic. The theoretical density comes out at 12.75 g/cm3. The energy above the most stable polymorph in this dataset is 81 meV per atom. The calculation puts the total energy at -4.06 eV per atom. As for the size of the total moment: 0.00 Bohr magnetons per cell. As for the space-group type: No. 10.



# ThTl2Te6Pb3

Crystalline ThTl2Te6Pb3 at its relaxed geometry (PBE, Alexandria via LeMat-Bulk).

Structure (POSCAR):
```
ThTl2Te6Pb3
1.0
-5.016 5.684 3.131
3.404 -5.626 4.902
6.416 4.538 -1.523
Th Tl Te Pb
1 2 6 3
Direct
0.000 0.000 0.000
0.330 0.670 0.000
0.670 0.330 0.000
0.916 0.607 0.752
0.771 0.771 0.252
0.084 0.393 0.248
0.607 0.916 0.752
0.229 0.229 0.748
0.393 0.084 0.248
0.161 0.839 0.500
0.839 0.161 0.500
0.500 0.500 0.500
```

Properties
The calculated volume is 36.520 A^3/atom. The crystal system is monoclinic. The formation energy without anion corrections is -596 meV per atom. The theoretical density comes out at 7.68 g/cm3. The calculation puts the total energy at -4.11 eV per atom. As for the size of the total moment: 0.00 Bohr magnetons per cell. As for the space-group type: No. 12.



# Ba2LaIr3O12

Crystalline Ba2LaIr3O12 at its relaxed geometry (PBE, Alexandria via LeMat-Bulk).

Structure (POSCAR):
```
Ba2LaIr3O12
1.0
-0.752 5.862 3.702
2.310 -0.192 6.577
5.837 3.580 1.321
Ba La Ir O
2 1 3 12
Direct
0.611 0.611 0.611
0.389 0.389 0.389
0.000 0.000 0.000
0.500 0.000 0.000
0.000 0.500 0.000
0.000 0.000 0.500
0.288 0.288 0.877
0.870 0.870 0.419
0.419 0.870 0.870
0.877 0.288 0.288
0.870 0.419 0.870
0.288 0.877 0.288
0.712 0.712 0.123
0.130 0.130 0.581
0.581 0.130 0.130
0.123 0.712 0.712
0.130 0.581 0.130
0.712 0.123 0.712
```

Properties
The calculated volume is 14.436 A^3/atom. The crystal system is trigonal. The formation energy without anion corrections is -1555 meV per atom. The theoretical density comes out at 7.55 g/cm3. The calculation puts the total energy at -6.82 eV per atom. As for the size of the total moment: 1.94 Bohr magnetons per cell. As for the space-group type: No. 166.



# KCuS5

Crystalline KCuS5 at its relaxed geometry (PBE, Alexandria via LeMat-Bulk).

Structure (POSCAR):
```
KCuS5
1.0
-4.114 3.985 1.281
-0.786 -4.568 3.600
2.703 3.800 10.140
K Cu S
2 2 10
Direct
0.266 0.734 0.250
0.734 0.266 0.750
0.000 0.500 0.000
0.500 0.000 0.500
0.595 0.401 0.160
0.065 0.871 0.553
0.401 0.595 0.660
0.934 0.066 0.250
0.129 0.935 0.947
0.871 0.065 0.053
0.066 0.934 0.750
0.599 0.405 0.340
0.935 0.129 0.447
0.405 0.599 0.840
```

Properties
The calculated volume is 23.527 A^3/atom. The crystal system is monoclinic. The formation energy without anion corrections is -163 meV per atom. The theoretical density comes out at 2.65 g/cm3. The calculation puts the total energy at -3.85 eV per atom. As for the size of the total moment: 0.00 Bohr magnetons per cell. As for the space-group type: No. 15.



# Ce3AgPb5

Crystalline Ce3AgPb5 at its relaxed geometry (PBE, Alexandria via LeMat-Bulk).

Structure (POSCAR):
```
Ce3AgPb5
1.0
-4.495 -3.595 3.099
6.058 -1.394 7.169
-5.870 7.453 0.131
Ce Ag Pb
6 2 10
Direct
0.750 0.378 0.000
0.750 0.622 0.622
0.750 0.000 0.378
0.250 0.622 0.000
0.250 0.378 0.378
0.250 0.000 0.622
0.000 0.000 0.000
0.500 0.000 0.000
0.000 0.333 0.667
0.500 0.667 0.333
0.000 0.667 0.333
0.500 0.333 0.667
0.750 0.725 0.000
0.750 0.275 0.275
0.750 0.000 0.725
0.250 0.275 0.000
0.250 0.725 0.725
0.250 0.000 0.275
```

Properties
The calculated volume is 28.315 A^3/atom. The crystal system is hexagonal. The theoretical density comes out at 10.19 g/cm3. The calculation puts the total energy at -4.64 eV per atom. As for the size of the total moment: 4.98 Bohr magnetons per cell. As for the space-group type: No. 193.



# Mg2AlZn

Crystalline Mg2AlZn at its relaxed geometry (PBE, Alexandria via LeMat-Bulk).

Structure (POSCAR):
```
Mg2AlZn
1.0
5.552 0.116 0.168
4.709 2.944 0.168
1.225 0.365 4.870
Mg Zn Al
2 1 1
Direct
0.984 0.984 0.047
0.770 0.770 0.697
0.520 0.520 0.532
0.226 0.226 0.223
```

Properties
The calculated volume is 19.079 A^3/atom. The crystal system is monoclinic. The theoretical density comes out at 3.07 g/cm3. The calculation puts the total energy at -2.08 eV per atom. As for the size of the total moment: 0.00 Bohr magnetons per cell. As for the space-group type: No. 8.



# Ce4HRh12

Crystalline Ce4HRh12 at its relaxed geometry (PBE, Alexandria via LeMat-Bulk).

Structure (POSCAR):
```
Ce4HRh12
1.0
6.652 0.000 -2.352
-3.326 5.761 -2.352
0.000 0.000 7.055
Ce H Rh
4 1 12
Direct
0.000 0.000 0.500
0.500 0.000 0.000
0.500 0.500 0.500
0.000 0.500 0.000
0.000 0.000 0.000
0.000 0.252 0.252
0.000 0.748 0.748
0.748 0.748 0.000
0.252 0.252 0.000
0.252 0.000 0.252
0.748 0.000 0.748
0.500 0.250 0.750
0.500 0.750 0.250
0.750 0.250 0.500
0.250 0.750 0.500
0.750 0.500 0.250
0.250 0.500 0.750
```

Properties
The calculated volume is 15.902 A^3/atom. The crystal system is cubic. The theoretical density comes out at 11.03 g/cm3. The calculation puts the total energy at -7.40 eV per atom. As for the size of the total moment: 0.00 Bohr magnetons per cell. As for the space-group type: No. 229.



# VPd8Pt2

Crystalline VPd8Pt2 at its relaxed geometry (PBE, Alexandria via LeMat-Bulk).

Structure (POSCAR):
```
VPd8Pt2
1.0
0.841 3.742 3.191
5.325 -1.165 6.241
7.766 1.506 2.465
V Pd Pt
1 8 2
Direct
0.000 0.000 0.000
0.230 0.331 0.831
0.770 0.169 0.669
0.135 0.746 0.746
0.865 0.254 0.254
0.230 0.831 0.331
0.770 0.669 0.169
0.725 0.592 0.592
0.275 0.408 0.408
0.476 0.832 0.832
0.524 0.168 0.168
```

Properties
The calculated volume is 16.033 A^3/atom. The crystal system is monoclinic. The theoretical density comes out at 12.17 g/cm3. The energy above the most stable polymorph in this dataset is 180 meV per atom. The calculation puts the total energy at -5.67 eV per atom. As for the size of the total moment: 0.00 Bohr magnetons per cell. As for the space-group type: No. 12.